Entry 1:
An optimized crystal structure of Ce2PdO. Source: Alexandria, functional GGA-PBE.

formation energy from raw total energies: -1.29 eV per atom
theoretical density: 8.73 Mg/m³
offset from the most stable computed form: 39 meV per atom

Cell lengths 8.7324, 8.7324, 8.7324 Å; angles 21.24, 21.24, 21.24 degrees
Sites, in units of the cell vectors:
Ce1 0.1040 0.1040 0.1040
Ce2 0.8960 0.8960 0.8960
Pd1 0.0000 0.0000 0.0000
O1 0.5000 0.5000 0.5000


Entry 2:
An optimized crystal structure of SrTiTlCl6. Source: Alexandria, functional GGA-PBE.

formation energy from raw total energies: -1.75 eV per atom
theoretical density: 3.13 Mg/m³

Cell lengths 7.1063, 7.1063, 13.4189 Å; angles 90.00, 90.00, 120.00 degrees
Sites, in units of the cell vectors:
Sr1 0.3333 0.6667 0.2500
Sr2 0.6667 0.3333 0.7500
Ti1 0.3333 0.6667 0.7500
Ti2 0.6667 0.3333 0.2500
Tl1 0.0000 0.0000 0.0000
Tl2 0.0000 0.0000 0.5000
Cl1 0.0484 0.3921 0.6434
Cl2 0.0484 0.6563 0.8566
Cl3 0.3437 0.3921 0.8566
Cl4 0.3437 0.9516 0.6434
Cl5 0.3921 0.0484 0.1434
Cl6 0.3921 0.3437 0.3566
Cl7 0.6079 0.6563 0.6434
Cl8 0.6079 0.9516 0.8566
Cl9 0.6563 0.0484 0.3566
Cl10 0.6563 0.6079 0.1434
Cl11 0.9516 0.3437 0.1434
Cl12 0.9516 0.6079 0.3566